# PrCO4

PrCO4 after structural relaxation (PBE, the Alexandria database).

Summary:
- M_tot: 0.167 μB per atom
- E above lowest polymorph: 73 meV/atom

Lattice parameters (Å, degrees): 7.536 5.021 8.236 90.00 90.00 90.00
Sites, in units of the cell vectors:
Pr1 0.147 0.250 0.172
Pr2 0.353 0.750 0.672
Pr3 0.647 0.250 0.328
Pr4 0.853 0.750 0.828
C1 0.192 0.250 0.813
C2 0.308 0.750 0.313
C3 0.692 0.250 0.687
C4 0.808 0.750 0.187
O1 0.040 0.750 0.592
O2 0.144 0.026 0.879
O3 0.144 0.474 0.879
O4 0.205 0.750 0.189
O5 0.295 0.250 0.689
O6 0.356 0.526 0.379
O7 0.356 0.974 0.379
O8 0.460 0.250 0.092
O9 0.540 0.750 0.908
O10 0.644 0.026 0.621
O11 0.644 0.474 0.621
O12 0.705 0.750 0.311
O13 0.795 0.250 0.811
O14 0.856 0.526 0.121
O15 0.856 0.974 0.121
O16 0.960 0.250 0.408

# PrC2O6

PrC2O6 after structural relaxation (PBE, the Alexandria database).

Summary:
- M_tot: 0.113 μB per atom

Lattice parameters (Å, degrees): 6.515 6.515 6.963 118.51 118.51 72.53
Sites, in units of the cell vectors:
Pr1 0.188 0.812 0.750
Pr2 0.812 0.188 0.250
C1 0.219 0.330 0.863
C2 0.330 0.219 0.363
C3 0.670 0.781 0.637
C4 0.781 0.670 0.137
O1 0.053 0.205 0.679
O2 0.205 0.053 0.179
O3 0.208 0.549 0.927
O4 0.220 0.393 0.483
O5 0.393 0.220 0.983
O6 0.451 0.792 0.573
O7 0.549 0.208 0.427
O8 0.607 0.780 0.017
O9 0.780 0.607 0.517
O10 0.792 0.451 0.073
O11 0.795 0.947 0.821
O12 0.947 0.795 0.321

# Pr3CO

Pr3CO after structural relaxation (PBE, the Alexandria database).

Summary:
- M_tot: 0.000 μB per atom

Lattice parameters (Å, degrees): 6.678 6.678 6.775 99.97 99.97 122.43
Sites, in units of the cell vectors:
Pr1 0.076 0.415 0.726
Pr2 0.237 0.237 0.254
Pr3 0.415 0.076 0.726
Pr4 0.585 0.924 0.274
Pr5 0.763 0.763 0.746
Pr6 0.924 0.585 0.274
C1 0.339 0.661 0.500
C2 0.661 0.339 0.500
O1 0.178 0.178 0.890
O2 0.822 0.822 0.110

# Pr2C2O

Pr2C2O after structural relaxation (PBE, the Alexandria database).

Summary:
- M_tot: 0.000 μB per atom

Lattice parameters (Å, degrees): 7.129 7.129 6.695 108.72 108.72 35.41
Sites, in units of the cell vectors:
Pr1 0.032 0.707 0.910
Pr2 0.293 0.968 0.590
Pr3 0.707 0.032 0.410
Pr4 0.968 0.293 0.090
C1 0.146 0.403 0.479
C2 0.403 0.146 0.979
C3 0.597 0.854 0.021
C4 0.854 0.597 0.521
O1 0.015 0.985 0.250
O2 0.985 0.015 0.750

# Pr3CO2

Pr3CO2 after structural relaxation (PBE, the Alexandria database).

Summary:
- M_tot: 0.000 μB per atom

Lattice parameters (Å, degrees): 12.264 11.696 6.378 79.55 69.69 30.76
Sites, in units of the cell vectors:
Pr1 0.041 0.541 0.206
Pr2 0.121 0.629 0.629
Pr3 0.206 0.712 0.041
Pr4 0.288 0.794 0.459
Pr5 0.371 0.879 0.879
Pr6 0.459 0.959 0.288
Pr7 0.541 0.041 0.712
Pr8 0.629 0.121 0.121
Pr9 0.712 0.206 0.541
Pr10 0.794 0.288 0.959
Pr11 0.879 0.371 0.371
Pr12 0.959 0.459 0.794
C1 0.042 0.042 0.208
C2 0.208 0.208 0.042
C3 0.792 0.792 0.958
C4 0.958 0.958 0.792
O1 0.123 0.123 0.627
O2 0.288 0.288 0.462
O3 0.373 0.373 0.877
O4 0.462 0.462 0.288
O5 0.538 0.538 0.712
O6 0.627 0.627 0.123
O7 0.712 0.712 0.538
O8 0.877 0.877 0.373

# Pr6CO5

Pr6CO5 after structural relaxation (PBE, the Alexandria database).

Summary:
- M_tot: 0.000 μB per atom

Lattice parameters (Å, degrees): 6.316 6.316 6.328 99.56 99.56 120.12
Sites, in units of the cell vectors:
Pr1 0.083 0.412 0.248
Pr2 0.249 0.249 0.754
Pr3 0.412 0.083 0.248
Pr4 0.588 0.917 0.752
Pr5 0.751 0.751 0.246
Pr6 0.917 0.588 0.752
C1 0.000 0.000 0.000
O1 0.159 0.841 0.500
O2 0.332 0.668 0.000
O3 0.500 0.500 0.500
O4 0.668 0.332 0.000
O5 0.841 0.159 0.500

# PrCO4

PrCO4 after structural relaxation (PBE, the Alexandria database).

Summary:
- M_tot: 0.167 μB per atom
- E above lowest polymorph: 133 meV/atom

Lattice parameters (Å, degrees): 4.721 7.136 4.891 90.00 101.22 90.00
Sites, in units of the cell vectors:
Pr1 0.188 0.250 0.177
Pr2 0.812 0.750 0.823
C1 0.357 0.750 0.235
C2 0.643 0.250 0.765
O1 0.211 0.595 0.188
O2 0.211 0.905 0.188
O3 0.286 0.750 0.707
O4 0.363 0.250 0.701
O5 0.637 0.750 0.299
O6 0.714 0.250 0.293
O7 0.789 0.095 0.812
O8 0.789 0.405 0.812

# Pr4C2O

Pr4C2O after structural relaxation (PBE, the Alexandria database).

Summary:
- M_tot: 0.000 μB per atom

Lattice parameters (Å, degrees): 13.054 13.054 13.054 16.47 16.47 16.47
Sites, in units of the cell vectors:
Pr1 0.114 0.114 0.114
Pr2 0.295 0.295 0.295
Pr3 0.705 0.705 0.705
Pr4 0.886 0.886 0.886
C1 0.413 0.413 0.413
C2 0.587 0.587 0.587
O1 0.000 0.000 0.000

# PrCO3

PrCO3 after structural relaxation (PBE, the Alexandria database).

Summary:
- M_tot: 0.197 μB per atom

Lattice parameters (Å, degrees): 4.302 4.979 5.810 90.00 99.70 90.00
Sites, in units of the cell vectors:
Pr1 0.213 0.250 0.268
Pr2 0.787 0.750 0.732
C1 0.221 0.250 0.787
C2 0.779 0.750 0.213
O1 0.070 0.750 0.144
O2 0.285 0.020 0.677
O3 0.285 0.480 0.677
O4 0.715 0.520 0.323
O5 0.715 0.980 0.323
O6 0.930 0.250 0.856

# PrPtC2O8

PrPtC2O8 after structural relaxation (PBE, the Alexandria database).

Summary:
- M_tot: 0.000 μB per atom

Lattice parameters (Å, degrees): 4.503 4.503 7.263 94.39 94.39 65.74
Sites, in units of the cell vectors:
Pr1 0.000 0.000 0.000
Pt1 0.000 0.000 0.500
C1 0.367 0.367 0.713
C2 0.633 0.633 0.287
O1 0.243 0.716 0.711
O2 0.260 0.260 0.549
O3 0.284 0.757 0.289
O4 0.302 0.302 0.882
O5 0.698 0.698 0.118
O6 0.716 0.243 0.711
O7 0.740 0.740 0.451
O8 0.757 0.284 0.289

# Rb2PrC2O6

Rb2PrC2O6 after structural relaxation (PBE, the Alexandria database).

Summary:
- M_tot: 0.001 μB per atom

Lattice parameters (Å, degrees): 5.874 5.874 6.781 90.00 90.00 120.00
Sites, in units of the cell vectors:
Rb1 0.333 0.667 0.328
Rb2 0.667 0.333 0.672
Pr1 0.000 0.000 0.000
C1 0.333 0.667 0.831
C2 0.667 0.333 0.169
O1 0.205 0.410 0.822
O2 0.205 0.795 0.822
O3 0.410 0.205 0.178
O4 0.590 0.795 0.822
O5 0.795 0.205 0.178
O6 0.795 0.590 0.178

# RbPrC2O6

RbPrC2O6 after structural relaxation (PBE, the Alexandria database).

Summary:
- M_tot: 0.000 μB per atom

Lattice parameters (Å, degrees): 6.675 6.675 7.397 104.22 104.22 95.88
Sites, in units of the cell vectors:
Rb1 0.119 0.881 0.750
Rb2 0.881 0.119 0.250
Pr1 0.402 0.598 0.250
Pr2 0.598 0.402 0.750
C1 0.148 0.393 0.748
C2 0.393 0.148 0.248
C3 0.607 0.852 0.752
C4 0.852 0.607 0.252
O1 0.046 0.600 0.269
O2 0.211 0.260 0.623
O3 0.260 0.211 0.123
O4 0.296 0.526 0.892
O5 0.400 0.954 0.231
O6 0.474 0.704 0.608
O7 0.526 0.296 0.392
O8 0.600 0.046 0.769
O9 0.704 0.474 0.108
O10 0.740 0.789 0.877
O11 0.789 0.740 0.377
O12 0.954 0.400 0.731

no.,total energy (eV/atom),theoretical density (kg/m3),uncorrected formation energy (eV/f.u.)
1,-7.612,4623,-11.84
2,-7.750,3813,-16.77
3,-6.730,6290,-5.13
4,-7.726,5757,-5.66
5,-7.502,7286,-11.54
6,-7.558,7561,-28.00
7,-7.551,4457,-11.47
8,-6.937,6432,-6.03
9,-7.835,5439,-10.30
10,-7.071,6060,-15.92
11,-6.827,3539,-20.19
12,-7.519,3771,-21.25